[1]
An optimized crystal structure of KTl2Pt, computed with PBE.

Cell: 6.484 11.092 3.114 Å, 90.00 111.52 90.00°
Space group C2/m (No. 12)
Symmetry-distinct sites (fractional):
K 0.000 0.000 0.000
Tl 0.250 0.250 0.500
Pt 0.000 0.500 0.000



[2]
An optimized crystal structure of KTlPt2, computed with PBE.

Cell: 3.0052 3.0052 31.6645 Å, 90.00 90.00 120.00°
Space group R-3m (No. 166, hexagonal axes)
Symmetry-distinct sites (fractional):
K 0.0000 0.0000 0.0000
Tl 0.0000 0.0000 0.5000
Pt 0.0000 0.0000 0.2478



[3]
An optimized crystal structure of KTl4Pt, computed with PBE.

Cell: 8.924 8.924 8.924 Å, 90.00 90.00 90.00°
Space group F-43m (No. 216)
Symmetry-distinct sites (fractional):
K 0.000 0.000 0.000
Tl 0.124 0.124 0.376
Pt 0.250 0.250 0.750



Total magnetic moment for the records above, in order: 0.0; 0.0; 0.0 μB per formula unit
Energy of formation from the pure elements for the records above, in order: 0.76; 0.99; 1.56 eV/f.u.